1.
Compound: InTcBr2
Source: Alexandria via LeMat-Bulk
Functional: PBE
Structure: relaxed

Offset from the most stable computed form ... 0.4399 eV/atom
Symmetry ... R-3m (166)
Formation energy from raw total energies ... 0.368 eV per atom

abc: 10.605 10.605 10.605
angles: 17.59 17.59 17.59
Fractional coordinates of all 4 atoms:
In 0.000 0.000 0.000
Tc 0.500 0.500 0.500
Br 0.424 0.424 0.424
Br 0.576 0.576 0.576

2.
Compound: PaB2Os2Rh
Source: Alexandria via LeMat-Bulk
Functional: PBE
Structure: relaxed

Energy relative to the elements ... 0.26 eV/atom
Symmetry ... P4/mmm (123)

abc: 4.045 4.045 5.388
angles: 90.00 90.00 90.00
Fractional coordinates of all 6 atoms:
Pa 0.000 0.000 0.000
B 0.000 0.500 0.500
B 0.500 0.000 0.500
Os 0.500 0.500 0.259
Os 0.500 0.500 0.741
Rh 0.000 0.000 0.500

3.
Compound: KTcRh2
Source: Alexandria via LeMat-Bulk
Functional: PBE
Structure: relaxed

Offset from the most stable computed form ... 0.6010 eV/atom
Energy relative to the elements ... 0.93 eV/atom
Symmetry ... P4/mmm (123)

abc: 4.913 4.913 2.797
angles: 90.00 90.00 90.00
Fractional coordinates of all 4 atoms:
K 0.000 0.000 0.000
Tc 0.500 0.500 0.000
Rh 0.000 0.500 0.500
Rh 0.500 0.000 0.500

4.
Compound: UAsCl
Source: Alexandria via LeMat-Bulk
Functional: PBE
Structure: relaxed

Offset from the most stable computed form ... 0.0588 eV/atom
Symmetry ... P-6m2 (187)
Formation energy from raw total energies ... -0.667 eV per atom

abc: 4.579 4.579 3.712
angles: 90.00 90.00 120.00
Fractional coordinates of all 3 atoms:
U 0.000 0.000 0.000
As 0.333 0.667 0.500
Cl 0.667 0.333 0.000

5.
Compound: Dy12Tm2Th
Source: Alexandria via LeMat-Bulk
Functional: PBE
Structure: relaxed

Energy relative to the elements ... 0.08 eV/atom
Symmetry ... P2/m (10)

abc: 3.590 5.655 23.487
angles: 90.00 94.31 90.00
Fractional coordinates of all 15 atoms:
Dy 0.036 0.000 0.067
Dy 0.070 0.500 0.147
Dy 0.161 0.000 0.322
Dy 0.209 0.500 0.424
Dy 0.281 0.000 0.557
Dy 0.405 0.000 0.806
Dy 0.595 0.000 0.194
Dy 0.719 0.000 0.443
Dy 0.791 0.500 0.576
Dy 0.839 0.000 0.678
Dy 0.930 0.500 0.853
Dy 0.964 0.000 0.933
Tm 0.359 0.500 0.715
Tm 0.641 0.500 0.285
Th 0.500 0.500 0.000

6.
Compound: AlCd12Ag7
Source: Alexandria via LeMat-Bulk
Functional: PBE
Structure: relaxed

Energy relative to the elements ... -0.01 eV/atom
Symmetry ... R-3 (148)

abc: 7.675 7.675 7.675
angles: 103.75 103.75 103.75
Fractional coordinates of all 20 atoms:
Al 0.000 0.000 0.000
Cd 0.078 0.364 0.293
Cd 0.236 0.463 0.738
Cd 0.262 0.764 0.537
Cd 0.293 0.078 0.364
Cd 0.364 0.293 0.078
Cd 0.463 0.738 0.236
Cd 0.537 0.262 0.764
Cd 0.635 0.707 0.922
Cd 0.707 0.922 0.635
Cd 0.738 0.236 0.463
Cd 0.764 0.537 0.262
Cd 0.922 0.636 0.707
Ag 0.053 0.691 0.120
Ag 0.120 0.053 0.691
Ag 0.309 0.880 0.947
Ag 0.500 0.500 0.500
Ag 0.691 0.120 0.053
Ag 0.880 0.947 0.309
Ag 0.947 0.309 0.880

7.
Compound: YMg2Fe
Source: Alexandria via LeMat-Bulk
Functional: PBE
Structure: relaxed

Energy relative to the elements ... 0.24 eV/atom
Symmetry ... P2/m (10)

abc: 3.193 4.947 5.552
angles: 90.00 104.49 90.00
Fractional coordinates of all 4 atoms:
Y 0.000 0.000 0.000
Mg 0.341 0.500 0.721
Mg 0.659 0.500 0.279
Fe 0.500 0.000 0.500

8.
Compound: K2AlTlCr
Source: Alexandria via LeMat-Bulk
Functional: PBE
Structure: relaxed

Energy relative to the elements ... 0.68 eV/atom
Symmetry ... P4/mmm (123)

abc: 6.521 6.521 5.060
angles: 90.00 90.00 90.00
Fractional coordinates of all 5 atoms:
K 0.000 0.500 0.000
K 0.500 0.000 0.000
Al 0.000 0.000 0.000
Tl 0.500 0.500 0.500
Cr 0.000 0.000 0.500

9.
Compound: Pa2InNi9
Source: Alexandria via LeMat-Bulk
Functional: PBE
Structure: relaxed

Offset from the most stable computed form ... 0.0162 eV/atom
Energy relative to the elements ... -0.28 eV/atom
Symmetry ... R-3m (166)

abc: 8.686 8.686 8.686
angles: 32.57 32.57 32.57
Fractional coordinates of all 12 atoms:
Pa 0.137 0.137 0.137
Pa 0.863 0.863 0.863
In 0.000 0.000 0.000
Ni 0.082 0.584 0.584
Ni 0.333 0.333 0.333
Ni 0.416 0.416 0.918
Ni 0.416 0.918 0.416
Ni 0.500 0.500 0.500
Ni 0.584 0.082 0.584
Ni 0.584 0.584 0.082
Ni 0.667 0.667 0.667
Ni 0.918 0.416 0.416

10.
Compound: LiPm2B2Rh5
Source: Alexandria via LeMat-Bulk
Functional: PBE
Structure: relaxed

Energy relative to the elements ... -0.57 eV/atom
Symmetry ... P4/mbm (127)

abc: 9.660 9.660 3.222
angles: 90.00 90.00 90.00
Fractional coordinates of all 20 atoms:
Li 0.000 0.000 0.000
Li 0.500 0.500 0.000
Pm 0.176 0.324 0.000
Pm 0.324 0.824 0.000
Pm 0.676 0.176 0.000
Pm 0.824 0.676 0.000
B 0.124 0.624 0.000
B 0.376 0.124 0.000
B 0.624 0.876 0.000
B 0.876 0.376 0.000
Rh 0.000 0.500 0.500
Rh 0.070 0.776 0.500
Rh 0.224 0.070 0.500
Rh 0.276 0.570 0.500
Rh 0.430 0.276 0.500
Rh 0.500 0.000 0.500
Rh 0.570 0.724 0.500
Rh 0.724 0.430 0.500
Rh 0.776 0.930 0.500
Rh 0.930 0.224 0.500

11.
Compound: Sr2AgGe4Pt3
Source: Alexandria via LeMat-Bulk
Functional: PBE
Structure: relaxed

Energy relative to the elements ... -0.69 eV/atom
Symmetry ... P-4m2 (115)

abc: 4.472 4.472 10.278
angles: 90.00 90.00 90.00
Fractional coordinates of all 10 atoms:
Sr 0.000 0.500 0.246
Sr 0.500 0.000 0.754
Ag 0.000 0.000 0.500
Ge 0.000 0.000 0.000
Ge 0.000 0.500 0.633
Ge 0.500 0.000 0.367
Ge 0.500 0.500 0.000
Pt 0.000 0.500 0.879
Pt 0.500 0.000 0.121
Pt 0.500 0.500 0.500

12.
Compound: SrCd4In6
Source: Alexandria via LeMat-Bulk
Functional: PBE
Structure: relaxed

Energy relative to the elements ... 0.02 eV/atom
Symmetry ... I-42m (121)

abc: 7.677 7.677 7.677
angles: 117.06 117.06 95.18
Fractional coordinates of all 11 atoms:
Sr 0.000 0.000 0.000
Cd 0.182 0.182 0.568
Cd 0.386 0.818 0.000
Cd 0.614 0.614 0.432
Cd 0.818 0.386 0.000
In 0.000 0.500 0.500
In 0.185 0.468 0.000
In 0.468 0.185 0.000
In 0.500 0.000 0.500
In 0.532 0.532 0.717
In 0.815 0.815 0.283

Respective magnetic moment values: 0.000; 0.000; 0.001; 2.092; 0.000; 0.000; 1.725; 4.831; 0.000; 0.000; 0.000; 0.000 Bohr magnetons per cell.